# PmCdFeO4 | the Alexandria database | GGA+U | optimized geometry
# * electronic total energy: -6.368 eV per atom
# * volume: 404.7 Å³ per cell
# * ρ: 6.2 Mg/m³
# * spin magnetization: 5.0 μB/f.u.
# * N(E_F): 0.00 states/eV per atom
data_PmCdFeO4
_space_group_name_H-M_alt 'I m m a'
_space_group_IT_number 74
_space_group_name_Hall '-I 2b 2'
_cell_length_a 6.401
_cell_length_b 6.852
_cell_length_c 9.228
_cell_angle_alpha 90.00
_cell_angle_beta 90.00
_cell_angle_gamma 90.00
loop_
_atom_site_label
_atom_site_fract_x
_atom_site_fract_y
_atom_site_fract_z
Pm1 0.000 0.000 0.000
Cd1 0.250 0.250 0.250
Fe1 0.000 0.250 0.627
O1 0.000 0.013 0.744
O2 0.248 0.250 0.504